Material: Zr2Re
Method: DFT, SCAN
State: single point on PBEsol structure

a = 8.7295 Å, b = 8.7295 Å, c = 8.7295 Å
α = 60.00°, β = 60.00°, γ = 60.00°
Last column: nearest neighbours and their distance in Å.
Fractional positions:
Zr1 0.0000 0.0000 0.0000  6 Re 2.69
Zr2 0.0000 0.0000 0.5000  6 Re 2.69
Zr3 0.0000 0.5000 0.0000  6 Re 2.69
Zr4 0.1860 0.1860 0.5640  4 Re 2.89-3.16, 2 Zr 3.17
Zr5 0.1860 0.5640 0.1860  4 Re 2.89-3.16, 2 Zr 3.17
Zr6 0.1860 0.5640 0.5640  4 Re 2.89-3.16, 2 Zr 3.17
Zr7 0.4360 0.4360 0.8140  4 Re 2.89-3.16, 2 Zr 3.17
Zr8 0.4360 0.8140 0.4360  4 Re 2.89-3.16, 2 Zr 3.17
Zr9 0.4360 0.8140 0.8140  4 Re 2.89-3.16, 2 Zr 3.17
Zr10 0.5000 0.0000 0.0000  6 Re 2.69
Zr11 0.5640 0.1860 0.1860  4 Re 2.89-3.16, 2 Zr 3.17
Zr12 0.5640 0.1860 0.5640  4 Re 2.89-3.16, 2 Zr 3.17
Zr13 0.5640 0.5640 0.1860  4 Re 2.89-3.16, 2 Zr 3.17
Zr14 0.8140 0.4360 0.4360  4 Re 2.89-3.16, 2 Zr 3.17
Zr15 0.8140 0.4360 0.8140  4 Re 2.89-3.16, 2 Zr 3.17
Zr16 0.8140 0.8140 0.4360  4 Re 2.89-3.16, 2 Zr 3.17
Re1 0.1312 0.7896 0.7896  6 Zr 2.69-2.89, 3 Re 2.98
Re2 0.2104 0.2104 0.2104  6 Zr 2.69-2.89, 3 Re 2.98
Re3 0.2104 0.2104 0.8688  6 Zr 2.69-2.89, 3 Re 2.98
Re4 0.2104 0.8688 0.2104  6 Zr 2.69-2.89, 3 Re 2.98
Re5 0.7896 0.1312 0.7896  6 Zr 2.69-2.89, 3 Re 2.98
Re6 0.7896 0.7896 0.1312  6 Zr 2.69-2.89, 3 Re 2.98
Re7 0.7896 0.7896 0.7896  6 Zr 2.69-2.89, 3 Re 2.98
Re8 0.8688 0.2104 0.2104  6 Zr 2.69-2.89, 3 Re 2.98

Size of the total moment, μB/f.u.: 0.000
Calculated formation energy, meV/atom: -220